# LaMoN2F

LaMoN2F after structural relaxation (PBE with a Hubbard U, Alexandria).

Summary:
* final energy: -5.977 eV/atom
* crystal system: tetragonal
* energy above the lowest structure with this stoichiometry: 1142 meV/atom
* SG: P4/mmm, No. 123

Cell lengths 4.6129, 4.6129, 4.5152 Å; angles 90.00, 90.00, 90.00 degrees
Closest atoms and distances in Å follow each position.
Sites, in units of the cell vectors:
La (0.0000, 0.0000, 0.0000)  2 F 2.26, 4 N 2.31
Mo (0.5000, 0.5000, 0.5000)  8 N 3.23, 4 F 3.26
N (0.0000, 0.5000, 0.0000)  2 La 2.31
N (0.5000, 0.0000, 0.0000)  2 La 2.31
F (0.0000, 0.0000, 0.5000)  2 La 2.26